Entry 1:
CdO5, relaxed, DFT PBE; calculated total energy = -4.362 eV per atom
1.0
6.906 0.000 0.000
0.000 3.566 0.000
-1.292 0.000 7.177
Cd O
2 10
Cartesian
0.000 0.000 0.000
3.453 1.783 0.000
0.694 1.783 1.499
0.720 0.000 4.714
0.883 0.000 6.443
1.965 1.783 1.849
1.818 0.000 4.135
4.147 0.000 1.499
4.173 1.783 4.714
4.336 1.783 6.443
5.419 0.000 1.849
5.271 1.783 4.135

=====

Entry 2:
Cd5O4, relaxed, DFT PBE; calculated total energy = -3.423 eV per atom
1.0
-4.625 4.625 1.810
4.625 -4.625 1.810
4.625 4.625 -1.810
Cd O
5 4
Cartesian
0.000 0.000 0.000
5.358 2.156 0.000
2.156 3.893 0.000
2.469 0.732 1.810
-0.732 2.469 1.810
6.910 0.621 0.000
0.621 2.341 0.000
4.005 2.284 1.810
-2.284 4.005 1.810

=====

Entry 3:
Cd4O, relaxed, DFT PBE; calculated total energy = -1.842 eV per atom
1.0
4.709 0.000 0.000
0.000 4.709 0.000
0.000 0.000 4.709
Cd O
4 1
Cartesian
0.000 0.000 0.000
0.000 2.354 2.354
2.354 0.000 2.354
2.354 2.354 0.000
2.354 2.354 2.354

=====

Entry 4:
Cd5O, relaxed, DFT PBE; calculated total energy = -1.726 eV per atom
1.0
3.006 0.000 0.000
0.000 15.864 0.000
0.000 0.000 5.374
Cd O
10 2
Cartesian
0.000 0.000 0.000
0.000 1.771 2.687
0.000 5.253 0.000
0.000 10.611 0.000
0.000 14.092 2.687
1.503 2.679 0.000
1.503 6.160 2.687
1.503 7.932 0.000
1.503 9.703 2.687
1.503 13.185 0.000
0.000 7.932 2.687
1.503 0.000 2.687

=====

Sequential DOS at the Fermi energy output: 4.11 2.22 2.06 2.80 states/eV/cell